First-principles (PBE) data for a relaxed BeAlPd crystal, as listed in OQMD.

Lattice parameters (Å, degrees): 4.0075 4.0075 4.0075 60.00 60.00 60.00
Closest atoms and distances in Å follow each position.
Sites, in units of the cell vectors:
Be1 0.0000 0.0000 0.0000  4 Pd 2.45
Al1 0.5000 0.5000 0.5000  4 Pd 2.45
Pd1 0.2500 0.2500 0.2500  4 Al 2.45, 4 Be 2.45

Results
SG = F-43m, No. 216
calculated density = 5.2 g cm⁻³
relative energy among the computed polymorphs = 0.0 meV per atom
energy = -0.1652 hartree per atom